P:
A geometry-optimized Tb4Dy2Er structure. Source: Alexandria, functional GGA-PBE.

Cell lengths 6.099, 6.529, 11.473 Å; angles 90.00, 104.67, 90.00 degrees
Positions (direct):
Tb: 0.032 0.250 0.361
Tb: 0.150 0.250 0.947
Tb: 0.347 0.507 0.213
Tb: 0.347 0.993 0.213
Tb: 0.653 0.007 0.787
Tb: 0.653 0.493 0.787
Tb: 0.850 0.750 0.053
Tb: 0.968 0.750 0.639
Dy: 0.287 0.750 0.924
Dy: 0.394 0.750 0.505
Dy: 0.606 0.250 0.495
Dy: 0.713 0.250 0.076
Er: 0.153 0.250 0.662
Er: 0.847 0.750 0.338

Values from the calculation:
DOS(E_F) = 11.68 states/eV/f.u.
symmetry = P2_1/m (11)


Q:
A geometry-optimized Tb4Dy2Er structure. Source: Alexandria, functional GGA-PBE.

Cell lengths 16.707, 3.514, 8.693 Å; angles 90.00, 119.67, 90.00 degrees
Positions (direct):
Tb: 0.141 0.000 0.337
Tb: 0.204 0.000 0.793
Tb: 0.296 0.500 0.207
Tb: 0.359 0.500 0.663
Tb: 0.641 0.500 0.337
Tb: 0.704 0.500 0.793
Tb: 0.796 0.000 0.207
Tb: 0.859 0.000 0.663
Dy: 0.070 0.500 0.930
Dy: 0.430 0.000 0.070
Dy: 0.570 0.000 0.930
Dy: 0.930 0.500 0.070
Er: 0.000 0.500 0.500
Er: 0.500 0.000 0.500

Values from the calculation:
DOS(E_F) = 10.98 states/eV/f.u.
symmetry = C2/m (12)


Energies relative to the most stable structure are P 0.096; Q 0.000, reported in eV/atom.


P:
A geometry-optimized TbDy4Er5 structure. Source: Alexandria, functional GGA-PBE.

Cell lengths 7.802, 7.802, 7.802 Å; angles 99.15, 99.15, 133.00 degrees
Positions (direct):
Tb: 0.000 0.000 0.000
Dy: 0.117 0.818 0.395
Dy: 0.423 0.722 0.605
Dy: 0.722 0.117 0.299
Dy: 0.818 0.423 0.701
Er: 0.039 0.125 0.623
Er: 0.125 0.503 0.086
Er: 0.417 0.039 0.914
Er: 0.503 0.417 0.377
Er: 0.540 0.540 0.000

Values from the calculation:
DOS(E_F) = 14.27 states/eV/f.u.
symmetry = I4 (79)


Q:
A geometry-optimized TbDy4Er5 structure. Source: Alexandria, functional GGA-PBE.

Cell lengths 3.524, 6.657, 13.891 Å; angles 98.10, 92.04, 104.48 degrees
Positions (direct):
Tb: 0.000 0.000 0.000
Dy: 0.136 0.816 0.215
Dy: 0.164 0.719 0.806
Dy: 0.836 0.281 0.194
Dy: 0.864 0.184 0.785
Er: 0.199 0.878 0.584
Er: 0.480 0.423 0.614
Er: 0.500 0.500 0.000
Er: 0.520 0.577 0.386
Er: 0.801 0.122 0.416

Values from the calculation:
DOS(E_F) = 17.30 states/eV/f.u.
symmetry = P-1 (2)


Energies relative to the most stable structure are P 0.249; Q 0.000, reported in eV/atom.


P:
A geometry-optimized Tb2Dy2Er7 structure. Source: Alexandria, functional GGA-PBE.

Cell lengths 6.413, 6.413, 8.588 Å; angles 97.71, 97.71, 93.11 degrees
Positions (direct):
Tb: 0.177 0.823 0.000
Tb: 0.823 0.177 0.000
Dy: 0.104 0.104 0.357
Dy: 0.896 0.896 0.643
Er: 0.056 0.420 0.710
Er: 0.350 0.350 0.094
Er: 0.420 0.056 0.710
Er: 0.500 0.500 0.500
Er: 0.580 0.944 0.290
Er: 0.650 0.650 0.906
Er: 0.944 0.580 0.290

Values from the calculation:
DOS(E_F) = 17.14 states/eV/f.u.
symmetry = C2/m (12)


Q:
A geometry-optimized Tb2Dy2Er7 structure. Source: Alexandria, functional GGA-PBE.

Cell lengths 7.944, 7.944, 5.984 Å; angles 106.08, 106.08, 91.94 degrees
Positions (direct):
Tb: 0.214 0.786 0.000
Tb: 0.786 0.214 0.000
Dy: 0.408 0.408 0.694
Dy: 0.592 0.592 0.306
Er: 0.000 0.000 0.500
Er: 0.063 0.589 0.324
Er: 0.232 0.232 0.082
Er: 0.411 0.937 0.676
Er: 0.589 0.063 0.324
Er: 0.768 0.768 0.918
Er: 0.937 0.411 0.676

Values from the calculation:
DOS(E_F) = 16.99 states/eV/f.u.
symmetry = C2/m (12)


Energies relative to the most stable structure are P 0.000; Q 0.044, reported in eV/atom.


P:
A geometry-optimized Tb5Dy2Er structure. Source: Alexandria, functional GGA-PBE.

Cell lengths 8.621, 8.621, 11.369 Å; angles 90.00, 90.00, 141.97 degrees
Positions (direct):
Tb: 0.045 0.955 0.613
Tb: 0.045 0.955 0.887
Tb: 0.394 0.606 0.250
Tb: 0.412 0.588 0.580
Tb: 0.412 0.588 0.920
Tb: 0.588 0.412 0.080
Tb: 0.588 0.412 0.420
Tb: 0.606 0.394 0.750
Tb: 0.955 0.045 0.113
Tb: 0.955 0.045 0.387
Dy: 0.213 0.787 0.081
Dy: 0.213 0.787 0.419
Dy: 0.787 0.213 0.581
Dy: 0.787 0.213 0.919
Er: 0.228 0.772 0.750
Er: 0.772 0.228 0.250

Values from the calculation:
DOS(E_F) = 12.54 states/eV/f.u.
symmetry = Cmcm (63)


Q:
A geometry-optimized Tb5Dy2Er structure. Source: Alexandria, functional GGA-PBE.

Cell lengths 7.089, 14.178, 5.002 Å; angles 90.00, 90.00, 90.00 degrees
Positions (direct):
Tb: 0.000 0.000 0.000
Tb: 0.000 0.250 0.000
Tb: 0.000 0.750 0.000
Tb: 0.250 0.125 0.500
Tb: 0.250 0.625 0.500
Tb: 0.500 0.250 0.000
Tb: 0.500 0.500 0.000
Tb: 0.500 0.750 0.000
Tb: 0.750 0.375 0.500
Tb: 0.750 0.875 0.500
Dy: 0.250 0.375 0.500
Dy: 0.250 0.875 0.500
Dy: 0.750 0.125 0.500
Dy: 0.750 0.625 0.500
Er: 0.000 0.500 0.000
Er: 0.500 0.000 0.000

Values from the calculation:
DOS(E_F) = 9.28 states/eV/f.u.
symmetry = Pbam (55)


Energies relative to the most stable structure are P 0.119; Q 0.000, reported in eV/atom.


P:
A geometry-optimized Tb4Dy8Er3 structure. Source: Alexandria, functional GGA-PBE.

Cell lengths 9.194, 9.194, 6.700 Å; angles 111.29, 111.29, 87.52 degrees
Positions (direct):
Tb: 0.000 0.000 0.000
Tb: 0.000 0.000 0.500
Tb: 0.000 0.500 0.000
Tb: 0.500 0.000 0.000
Dy: 0.253 0.747 0.000
Dy: 0.266 0.266 0.511
Dy: 0.269 0.269 0.036
Dy: 0.359 0.641 0.500
Dy: 0.641 0.359 0.500
Dy: 0.731 0.731 0.964
Dy: 0.734 0.734 0.489
Dy: 0.747 0.253 0.000
Er: 0.000 0.500 0.500
Er: 0.500 0.000 0.500
Er: 0.500 0.500 0.000

Values from the calculation:
DOS(E_F) = 29.45 states/eV/f.u.
symmetry = C2/m (12)


Q:
A geometry-optimized Tb4Dy8Er3 structure. Source: Alexandria, functional GGA-PBE.

Cell lengths 12.340, 12.340, 12.340 Å; angles 32.39, 32.39, 32.39 degrees
Positions (direct):
Tb: 0.000 0.000 0.000
Tb: 0.164 0.164 0.164
Tb: 0.500 0.500 0.500
Tb: 0.836 0.836 0.836
Dy: 0.250 0.250 0.747
Dy: 0.250 0.747 0.250
Dy: 0.253 0.750 0.750
Dy: 0.255 0.255 0.255
Dy: 0.745 0.745 0.745
Dy: 0.747 0.250 0.250
Dy: 0.750 0.253 0.750
Dy: 0.750 0.750 0.253
Er: 0.000 0.500 0.500
Er: 0.500 0.000 0.500
Er: 0.500 0.500 0.000

Values from the calculation:
DOS(E_F) = 22.70 states/eV/f.u.
symmetry = R-3m (166)


Energies relative to the most stable structure are P 0.257; Q 0.000, reported in eV/atom.


P:
A geometry-optimized Tb2Dy7Er2 structure. Source: Alexandria, functional GGA-PBE.

Cell lengths 6.455, 6.455, 8.598 Å; angles 97.66, 97.66, 93.08 degrees
Positions (direct):
Tb: 0.177 0.823 0.000
Tb: 0.823 0.177 0.000
Dy: 0.053 0.419 0.708
Dy: 0.349 0.349 0.092
Dy: 0.419 0.053 0.708
Dy: 0.500 0.500 0.500
Dy: 0.581 0.947 0.292
Dy: 0.651 0.651 0.908
Dy: 0.947 0.581 0.292
Er: 0.106 0.106 0.356
Er: 0.894 0.894 0.644

Values from the calculation:
DOS(E_F) = 17.66 states/eV/f.u.
symmetry = C2/m (12)


Q:
A geometry-optimized Tb2Dy7Er2 structure. Source: Alexandria, functional GGA-PBE.

Cell lengths 7.959, 7.959, 6.001 Å; angles 105.85, 105.85, 91.53 degrees
Positions (direct):
Tb: 0.216 0.784 0.000
Tb: 0.784 0.216 0.000
Dy: 0.000 0.000 0.500
Dy: 0.061 0.590 0.326
Dy: 0.232 0.232 0.086
Dy: 0.410 0.939 0.674
Dy: 0.590 0.061 0.326
Dy: 0.768 0.768 0.914
Dy: 0.939 0.410 0.674
Er: 0.412 0.412 0.696
Er: 0.588 0.588 0.304

Values from the calculation:
DOS(E_F) = 16.63 states/eV/f.u.
symmetry = C2/m (12)


Energies relative to the most stable structure are P 0.000; Q 0.048, reported in eV/atom.


P:
A geometry-optimized TbDy7Er12 structure. Source: Alexandria, functional GGA-PBE.

Cell lengths 9.645, 9.645, 9.645 Å; angles 109.47, 109.47, 109.47 degrees
Positions (direct):
Tb: 0.000 0.000 0.000
Dy: 0.000 0.000 0.500
Dy: 0.000 0.500 0.000
Dy: 0.000 0.500 0.500
Dy: 0.500 0.000 0.000
Dy: 0.500 0.000 0.500
Dy: 0.500 0.500 0.000
Dy: 0.500 0.500 0.500
Er: 0.000 0.250 0.750
Er: 0.000 0.750 0.250
Er: 0.250 0.000 0.750
Er: 0.250 0.250 0.501
Er: 0.250 0.501 0.250
Er: 0.250 0.750 0.000
Er: 0.499 0.750 0.750
Er: 0.501 0.250 0.250
Er: 0.750 0.000 0.250
Er: 0.750 0.250 0.000
Er: 0.750 0.499 0.750
Er: 0.750 0.750 0.499

Values from the calculation:
DOS(E_F) = 23.29 states/eV/f.u.
symmetry = Im-3m (229)


Q:
A geometry-optimized TbDy7Er12 structure. Source: Alexandria, functional GGA-PBE.

Cell lengths 8.591, 8.591, 8.591 Å; angles 95.12, 95.12, 95.12 degrees
Positions (direct):
Tb: 0.000 0.000 0.000
Dy: 0.021 0.084 0.353
Dy: 0.084 0.353 0.021
Dy: 0.353 0.021 0.084
Dy: 0.500 0.500 0.500
Dy: 0.647 0.979 0.916
Dy: 0.916 0.647 0.979
Dy: 0.979 0.916 0.647
Er: 0.148 0.417 0.480
Er: 0.186 0.749 0.314
Er: 0.251 0.686 0.814
Er: 0.314 0.186 0.749
Er: 0.417 0.480 0.148
Er: 0.480 0.148 0.417
Er: 0.520 0.852 0.583
Er: 0.583 0.520 0.852
Er: 0.686 0.814 0.251
Er: 0.749 0.314 0.186
Er: 0.814 0.251 0.686
Er: 0.852 0.583 0.520

Values from the calculation:
DOS(E_F) = 17.24 states/eV/f.u.
symmetry = R-3 (148)


Energies relative to the most stable structure are P 0.424; Q 0.000, reported in eV/atom.


P:
A geometry-optimized TbDyErTl structure. Source: Alexandria, functional GGA-PBE.

Cell lengths 7.719, 7.719, 7.719 Å; angles 90.00, 90.00, 90.00 degrees
Positions (direct):
Tb: 0.000 0.000 0.000
Tb: 0.000 0.500 0.500
Tb: 0.500 0.000 0.500
Tb: 0.500 0.500 0.000
Dy: 0.000 0.000 0.500
Dy: 0.000 0.500 0.000
Dy: 0.500 0.000 0.000
Dy: 0.500 0.500 0.500
Er: 0.250 0.250 0.750
Er: 0.250 0.750 0.250
Er: 0.750 0.250 0.250
Er: 0.750 0.750 0.750
Tl: 0.250 0.250 0.250
Tl: 0.250 0.750 0.750
Tl: 0.750 0.250 0.750
Tl: 0.750 0.750 0.250

Values from the calculation:
DOS(E_F) = 5.61 states/eV/f.u.
symmetry = F-43m (216)


Q:
A geometry-optimized TbDyErTl structure. Source: Alexandria, functional GGA-PBE.

Cell lengths 4.831, 4.839, 4.857 Å; angles 90.00, 90.00, 90.00 degrees
Positions (direct):
Tb: 0.000 0.000 0.000
Dy: 0.500 0.500 0.000
Er: 0.500 0.000 0.500
Tl: 0.000 0.500 0.500

Values from the calculation:
DOS(E_F) = 5.11 states/eV/f.u.
symmetry = Pmmm (47)


Energies relative to the most stable structure are P 0.144; Q 0.000, reported in eV/atom.


P:
A geometry-optimized TbDyErTm structure. Source: Alexandria, functional GGA-PBE.

Cell lengths 7.941, 7.941, 7.941 Å; angles 90.00, 90.00, 90.00 degrees
Positions (direct):
Tb: 0.000 0.000 0.000
Tb: 0.000 0.500 0.500
Tb: 0.500 0.000 0.500
Tb: 0.500 0.500 0.000
Dy: 0.000 0.000 0.500
Dy: 0.000 0.500 0.000
Dy: 0.500 0.000 0.000
Dy: 0.500 0.500 0.500
Er: 0.250 0.250 0.250
Er: 0.250 0.750 0.750
Er: 0.750 0.250 0.750
Er: 0.750 0.750 0.250
Tm: 0.250 0.250 0.750
Tm: 0.250 0.750 0.250
Tm: 0.750 0.250 0.250
Tm: 0.750 0.750 0.750

Values from the calculation:
DOS(E_F) = 9.59 states/eV/f.u.
symmetry = F-43m (216)


Q:
A geometry-optimized TbDyErTm structure. Source: Alexandria, functional GGA-PBE.

Cell lengths 4.973, 4.973, 9.939 Å; angles 90.00, 90.00, 90.00 degrees
Positions (direct):
Tb: 0.000 0.000 0.000
Tb: 0.500 0.500 0.500
Dy: 0.000 0.500 0.250
Dy: 0.500 0.000 0.750
Er: 0.000 0.000 0.500
Er: 0.500 0.500 0.000
Tm: 0.000 0.500 0.750
Tm: 0.500 0.000 0.250

Values from the calculation:
DOS(E_F) = 5.71 states/eV/f.u.
symmetry = I-4m2 (119)


Energies relative to the most stable structure are P 0.114; Q 0.000, reported in eV/atom.


P:
A geometry-optimized TbDyErZn structure. Source: Alexandria, functional GGA-PBE.

Cell lengths 7.518, 7.518, 7.518 Å; angles 90.00, 90.00, 90.00 degrees
Positions (direct):
Tb: 0.000 0.000 0.000
Tb: 0.000 0.500 0.500
Tb: 0.500 0.000 0.500
Tb: 0.500 0.500 0.000
Dy: 0.000 0.000 0.500
Dy: 0.000 0.500 0.000
Dy: 0.500 0.000 0.000
Dy: 0.500 0.500 0.500
Er: 0.250 0.250 0.250
Er: 0.250 0.750 0.750
Er: 0.750 0.250 0.750
Er: 0.750 0.750 0.250
Zn: 0.250 0.250 0.750
Zn: 0.250 0.750 0.250
Zn: 0.750 0.250 0.250
Zn: 0.750 0.750 0.750

Values from the calculation:
DOS(E_F) = 4.58 states/eV/f.u.
symmetry = F-43m (216)


Q:
A geometry-optimized TbDyErZn structure. Source: Alexandria, functional GGA-PBE.

Cell lengths 3.553, 3.553, 8.583 Å; angles 90.00, 90.00, 90.00 degrees
Positions (direct):
Tb: 0.000 0.000 0.000
Dy: 0.500 0.500 0.705
Er: 0.500 0.500 0.293
Zn: 0.000 0.000 0.496

Values from the calculation:
DOS(E_F) = 4.38 states/eV/f.u.
symmetry = P4mm (99)


Energies relative to the most stable structure are P 0.202; Q 0.000, reported in eV/atom.


P:
A geometry-optimized Dy3ErTc structure. Source: Alexandria, functional GGA-PBE.

Cell lengths 7.235, 7.235, 7.883 Å; angles 122.88, 122.88, 72.91 degrees
Positions (direct):
Dy: 0.053 0.053 0.346
Dy: 0.054 0.448 0.208
Dy: 0.448 0.054 0.208
Dy: 0.552 0.946 0.792
Dy: 0.946 0.552 0.792
Dy: 0.947 0.947 0.654
Er: 0.446 0.446 0.743
Er: 0.554 0.554 0.257
Tc: 0.250 0.250 0.874
Tc: 0.750 0.750 0.126

Values from the calculation:
DOS(E_F) = 4.63 states/eV/f.u.
symmetry = C2/m (12)


Q:
A geometry-optimized Dy3ErTc structure. Source: Alexandria, functional GGA-PBE.

Cell lengths 6.318, 6.318, 12.753 Å; angles 111.29, 111.29, 35.85 degrees
Positions (direct):
Dy: 0.000 0.000 0.000
Dy: 0.026 0.026 0.375
Dy: 0.225 0.225 0.856
Dy: 0.341 0.341 0.139
Dy: 0.669 0.669 0.239
Dy: 0.696 0.696 0.612
Er: 0.354 0.354 0.475
Er: 0.471 0.471 0.756
Tc: 0.028 0.028 0.611
Tc: 0.667 0.667 0.001

Values from the calculation:
DOS(E_F) = 4.93 states/eV/f.u.
symmetry = Cm (8)


Energies relative to the most stable structure are P 0.041; Q 0.000, reported in eV/atom.